Material: Ta2BeMoF
Method: DFT, PBE+U
State: relaxed

## Properties
Symmetry = P4/mmm, No. 123
ρ = 11.395 Mg/m³
Calculated total energy = -7.115 eV/atom

a = 4.5925 Å, b = 4.5925 Å, c = 3.3569 Å
α = 90.00°, β = 90.00°, γ = 90.00°
Fractional positions:
Ta 0.0000 0.5000 0.0000
Ta 0.5000 0.0000 0.0000
Be 0.0000 0.0000 0.5000
Mo 0.5000 0.5000 0.5000
F 0.0000 0.0000 0.0000